(1)
Computed, not measured: an optimized crystal structure of HfFe3F at the PBEsol level of DFT.

Computed properties:
- Formation energy from raw total energies: 0.14 eV per atom
- Space group: Pm-3m (221)
- Calculated total energy: -7.720 eV per atom
- Calculated volume: 12.98 Å³ per atom
- Size of the total moment: 1.26 μB per atom

a = 4.0184 Å, b = 4.0184 Å, c = 4.0184 Å
α = 90.00°, β = 90.00°, γ = 90.00°
Site moments in Bohr magnetons follow the coordinates.
Positions (direct):
Hf 0.5000 0.5000 0.5000  -0.58
Fe 0.0000 0.5000 0.0000  2.35
Fe 0.0000 0.0000 0.5000  2.35
Fe 0.5000 0.0000 0.0000  2.35
F 0.0000 0.0000 0.0000  0.13

=====

(2)
Computed, not measured: an optimized crystal structure of HfFeOF2 at the PBEsol level of DFT.

Computed properties:
- Formation energy from raw total energies: -1.76 eV per atom
- Space group: P4/mmm (123)
- Calculated total energy: -7.476 eV per atom
- Calculated volume: 14.09 Å³ per atom
- Size of the total moment: 0.73 μB per atom

a = 4.0071 Å, b = 4.1924 Å, c = 4.1924 Å
α = 90.00°, β = 90.00°, γ = 90.00°
Site moments in Bohr magnetons follow the coordinates.
Positions (direct):
Hf 0.0000 0.0000 0.0000  -0.15
Fe 0.5000 0.5000 0.5000  3.29
O 0.5000 0.0000 0.0000  0.06
F 0.0000 0.0000 0.5000  0.03
F 0.0000 0.5000 0.0000  0.03

=====

(3)
Computed, not measured: an optimized crystal structure of FeHgN2F at the PBEsol level of DFT.

Computed properties:
- Formation energy from raw total energies: 1.66 eV per atom
- Space group: P4/mmm (123)
- Calculated total energy: -4.037 eV per atom
- Calculated volume: 14.73 Å³ per atom
- Size of the total moment: 1.11 μB per atom

a = 4.0754 Å, b = 4.0754 Å, c = 4.4336 Å
α = 90.00°, β = 90.00°, γ = 90.00°
Site moments in Bohr magnetons follow the coordinates.
Positions (direct):
N 0.0000 0.5000 0.0000  0.64
N 0.5000 0.0000 0.0000  0.64
F 0.0000 0.0000 0.5000  0.04
Hg 0.0000 0.0000 0.0000  0.08
Fe 0.5000 0.5000 0.5000  3.54